Entry from Alexandria: crystalline ErNiP2O8 at its relaxed geometry (PBE+U).

Lattice parameters (Å, degrees): 5.3671 5.3671 5.9800 90.00 90.00 120.00
With the nearest neighbours (Å) after each atom.
Element x y z (fractional)
Er 0.0000 0.0000 0.0000  6 O 2.23
Ni 0.0000 0.0000 0.5000  6 O 2.18
P 0.3333 0.6667 0.6556  4 O 1.52-1.57
P 0.6667 0.3333 0.3444  4 O 1.52-1.57
O 0.1747 0.3495 0.7440  1 P 1.57
O 0.1747 0.8253 0.7440  1 P 1.57
O 0.3333 0.6667 0.4013  1 P 1.52
O 0.3495 0.1747 0.2560  1 P 1.57
O 0.6505 0.8253 0.7440  1 P 1.57
O 0.6667 0.3333 0.5987  1 P 1.52
O 0.8253 0.1747 0.2560  1 P 1.57
O 0.8253 0.6505 0.2560  1 P 1.57

Results
Total DFT energy (no corrections) in eV per cell: -83.180
Space group: P-3m1, No. 164